[1]
# Sr2TcSnO6

A relaxed Sr2TcSnO6 crystal (GGA-PBE, the Alexandria database).

Results
- uncorrected formation energy (eV/atom) = -2.07
- crystal system = cubic

abc: 5.7539 5.7540 5.7545
angles: 60.00 60.00 90.00
Closest atoms and distances in Å follow each position.
Fractional positions:
Sr 0.2500 0.7500 0.5000  12 O 2.88
Sr 0.7500 0.2500 0.5000  12 O 2.88
Tc 0.0000 0.0000 0.0000  6 O 2.02
Sn 0.5000 0.5000 0.0000  6 O 2.05
O 0.2480 0.7520 0.0000  1 Tc 2.02, 1 Sn 2.05
O 0.7520 0.7520 0.0000  1 Tc 2.02, 1 Sn 2.05
O 0.2481 0.2481 0.5039  1 Tc 2.02, 1 Sn 2.05
O 0.7520 0.2480 0.0000  1 Tc 2.02, 1 Sn 2.05
O 0.2480 0.2480 0.0000  1 Tc 2.02, 1 Sn 2.05
O 0.7519 0.7519 0.4961  1 Tc 2.02, 1 Sn 2.05


[2]
# CuNi2Os

A relaxed CuNi2Os crystal (GGA-PBE, the Alexandria database).

Results
- ΔH_f (0 K) (eV/f.u.) = 1.3
- crystal system = orthorhombic

abc: 2.6103 4.3664 4.3230
angles: 90.00 90.00 90.00
Closest atoms and distances in Å follow each position.
Fractional positions:
Cu 0.0000 0.5000 0.5000  4 Ni 2.52, 4 Os 2.54, 2 Cu 2.61
Ni 0.0000 0.0000 0.0000  4 Os 2.52, 6 Ni 2.54-2.61
Ni 0.5000 0.5000 0.0000  4 Cu 2.52, 6 Ni 2.54-2.61
Os 0.5000 0.0000 0.5000  4 Ni 2.52, 4 Cu 2.54, 2 Os 2.61


[3]
# Li2BeCr

A relaxed Li2BeCr crystal (GGA-PBE, the Alexandria database).

Results
- ΔH_f (0 K) (eV/f.u.) = 1.5
- crystal system = orthorhombic

abc: 2.3675 2.3675 9.0086
angles: 90.00 90.00 111.88
Closest atoms and distances in Å follow each position.
Fractional positions:
Be 0.5000 0.5000 0.2500  4 Be 2.37, 4 Li 2.53
Cr 0.5000 0.5000 0.7500  4 Cr 2.37
Li 0.0000 0.0000 0.0103  4 Li 2.37, 2 Be 2.53
Li 0.0000 0.0000 0.4897  4 Li 2.37, 2 Be 2.53


no.,calculated volume (Å³ per atom),total DFT energy (no corrections) (eV for the cell shown)
1,13.47,-68.19
2,12.32,-25.60
3,11.71,-15.69